Run one
Tm2ZnAg: relaxed, GGA-PBE.

Output
Size of the total moment (Bohr magnetons per cell): 0.00

Unit cell a=9.2464 b=9.2464 c=9.2464 alpha=21.99 beta=21.99 gamma=21.99
Positions (direct):
1 Tm 0.2480 0.2480 0.2480
2 Tm 0.7520 0.7520 0.7520
3 Zn 0.5000 0.5000 0.5000
4 Ag 0.0000 0.0000 0.0000


Run two
Tm2ZnAg: relaxed, GGA-PBE.

Output
Size of the total moment (Bohr magnetons per cell): 0.00

Unit cell a=5.0305 b=5.0305 c=5.0305 alpha=60.00 beta=60.00 gamma=60.00
Positions (direct):
1 Tm 0.2500 0.2500 0.2500
2 Tm 0.7500 0.7500 0.7500
3 Zn 0.0000 0.0000 0.0000
4 Ag 0.5000 0.5000 0.5000


Run three
Tm2ZnAg: relaxed, GGA-PBE.

Output
Size of the total moment (Bohr magnetons per cell): 0.00

Unit cell a=3.5548 b=3.5548 c=7.0941 alpha=90.00 beta=90.00 gamma=90.00
Positions (direct):
1 Tm 0.0000 0.0000 0.2438
2 Tm 0.0000 0.0000 0.7562
3 Zn 0.5000 0.5000 0.0000
4 Ag 0.5000 0.5000 0.5000


Most stable = run three


Run one
TmZnAg3: relaxed, GGA-PBE.

Output
Size of the total moment (Bohr magnetons per cell): 0.00

Unit cell a=13.6173 b=13.6173 c=3.3478 alpha=90.00 beta=90.00 gamma=160.56
Positions (direct):
1 Tm 0.1750 0.8250 0.0000
2 Tm 0.8250 0.1750 0.0000
3 Zn 0.3742 0.6258 0.5000
4 Zn 0.6258 0.3742 0.5000
5 Ag 0.0713 0.9287 0.5000
6 Ag 0.2777 0.7223 0.5000
7 Ag 0.4499 0.5501 0.0000
8 Ag 0.5501 0.4499 0.0000
9 Ag 0.7223 0.2777 0.5000
10 Ag 0.9287 0.0713 0.5000


Run two
TmZnAg3: relaxed, GGA-PBE.

Output
Size of the total moment (Bohr magnetons per cell): 0.00

Unit cell a=6.1946 b=4.5235 c=6.7970 alpha=90.00 beta=93.46 gamma=90.00
Positions (direct):
1 Tm 0.2489 0.2500 0.2387
2 Tm 0.7511 0.7500 0.7613
3 Zn 0.0619 0.2500 0.8145
4 Zn 0.9381 0.7500 0.1855
5 Ag 0.1636 0.7500 0.5399
6 Ag 0.3075 0.7500 0.9496
7 Ag 0.4446 0.2500 0.6691
8 Ag 0.5554 0.7500 0.3309
9 Ag 0.6925 0.2500 0.0504
10 Ag 0.8364 0.2500 0.4601


Most stable = run two


Run one
Tm4Zn3Ag: relaxed, GGA-PBE.

Output
Size of the total moment (Bohr magnetons per cell): 0.00

Unit cell a=3.5377 b=3.5377 c=14.1198 alpha=90.00 beta=90.00 gamma=90.00
Positions (direct):
1 Tm 0.0000 0.0000 0.1233
2 Tm 0.0000 0.0000 0.3704
3 Tm 0.0000 0.0000 0.6296
4 Tm 0.0000 0.0000 0.8767
5 Zn 0.5000 0.5000 0.0000
6 Zn 0.5000 0.5000 0.2458
7 Zn 0.5000 0.5000 0.7542
8 Ag 0.5000 0.5000 0.5000


Run two
Tm4Zn3Ag: relaxed, GGA-PBE.

Output
Size of the total moment (Bohr magnetons per cell): 0.00

Unit cell a=3.6250 b=4.5269 c=11.1157 alpha=90.00 beta=90.00 gamma=90.00
Positions (direct):
1 Tm 0.0000 0.0000 0.0000
2 Tm 0.0000 0.5000 0.3009
3 Tm 0.5000 0.0000 0.4946
4 Tm 0.5000 0.5000 0.8016
5 Zn 0.0000 0.5000 0.5720
6 Zn 0.5000 0.0000 0.2209
7 Zn 0.5000 0.5000 0.0771
8 Ag 0.0000 0.0000 0.7219


Most stable = run one


Run one
V2AgW: relaxed, GGA-PBE.

Output
Size of the total moment (Bohr magnetons per cell): 0.00

Unit cell a=4.4089 b=4.4089 c=4.4089 alpha=60.00 beta=60.00 gamma=60.00
Positions (direct):
1 V 0.2500 0.2500 0.2500
2 V 0.7500 0.7500 0.7500
3 Ag 0.0000 0.0000 0.0000
4 W 0.5000 0.5000 0.5000


Run two
V2AgW: relaxed, GGA-PBE.

Output
Size of the total moment (Bohr magnetons per cell): 0.00

Unit cell a=5.6233 b=5.6233 c=5.6233 alpha=103.40 beta=103.40 gamma=122.45
Positions (direct):
1 V 0.1126 0.1250 0.4876
2 V 0.3750 0.8874 0.0124
3 V 0.6374 0.6250 0.5124
4 V 0.8750 0.3626 0.9876
5 Ag 0.2500 0.7500 0.5000
6 Ag 0.5000 0.5000 0.0000
7 W 0.0000 0.0000 0.0000
8 W 0.7500 0.2500 0.5000


Most stable = run one


Run one
V2AgW2: relaxed, GGA-PBE.

Output
Size of the total moment (Bohr magnetons per cell): 0.00

Unit cell a=6.9421 b=6.9421 c=6.9421 alpha=149.68 beta=149.68 gamma=43.41
Positions (direct):
1 V 0.2500 0.7500 0.5000
2 V 0.7500 0.2500 0.5000
3 Ag 0.0000 0.0000 0.0000
4 W 0.3932 0.3932 0.0000
5 W 0.6068 0.6068 0.0000


Run two
V2AgW2: relaxed, GGA-PBE.

Output
Size of the total moment (Bohr magnetons per cell): 0.00

Unit cell a=7.4683 b=7.4683 c=2.9386 alpha=90.00 beta=90.00 gamma=90.00
Positions (direct):
1 V 0.1913 0.3087 0.0000
2 V 0.3087 0.8087 0.0000
3 V 0.6913 0.1913 0.0000
4 V 0.8087 0.6913 0.0000
5 Ag 0.0000 0.0000 0.5000
6 Ag 0.5000 0.5000 0.5000
7 W 0.1168 0.6168 0.5000
8 W 0.3832 0.1168 0.5000
9 W 0.6168 0.8832 0.5000
10 W 0.8832 0.3832 0.5000


Most stable = run two


Run one
VAg2W: relaxed, GGA-PBE.

Output
Size of the total moment (Bohr magnetons per cell): 1.62

Unit cell a=5.8321 b=5.8321 c=5.8321 alpha=101.31 beta=101.31 gamma=127.42
Positions (direct):
1 V 0.0000 0.0000 0.0000
2 V 0.7500 0.2500 0.5000
3 Ag 0.1161 0.6250 0.9911
4 Ag 0.3750 0.3661 0.4911
5 Ag 0.6339 0.1250 0.0089
6 Ag 0.8750 0.8839 0.5089
7 W 0.2500 0.7500 0.5000
8 W 0.5000 0.5000 0.0000


Run two
VAg2W: relaxed, GGA-PBE.

Output
Size of the total moment (Bohr magnetons per cell): 1.66

Unit cell a=4.5488 b=4.5488 c=4.5488 alpha=60.00 beta=60.00 gamma=60.00
Positions (direct):
1 V 0.0000 0.0000 0.0000
2 Ag 0.2500 0.2500 0.2500
3 Ag 0.7500 0.7500 0.7500
4 W 0.5000 0.5000 0.5000


Most stable = run two